[1]
The following is a DFT calculation (GGA-PBE) of KZnOs4 after structural relaxation.

Cell lengths 7.4865, 7.4865, 7.4865 Å; angles 90.00, 90.00, 90.00 degrees
Closest atoms and distances in Å follow each position.
Space group F-43m (No. 216)
Unique sites:
K (0.0000, 0.0000, 0.0000)  12 Os 3.11, 4 Zn 3.24
Zn (0.2500, 0.2500, 0.2500)  12 Os 3.10, 4 K 3.24
Os (0.1244, 0.1244, 0.6244)  6 Os 2.63-2.66

DFT total energy	-41.0	eV per formula unit
formation energy	1.051	eV/atom

[2]
The following is a DFT calculation (GGA-PBE) of Al2OsSe after structural relaxation.

Cell lengths 3.1962, 3.1962, 6.0848 Å; angles 90.00, 90.00, 90.00 degrees
Closest atoms and distances in Å follow each position.
Space group P4/mmm (No. 123)
Unique sites:
Al (0.0000, 0.0000, 0.2278)  4 Os 2.65, 1 Al 2.77, 4 Se 2.80
Os (0.5000, 0.5000, 0.0000)  8 Al 2.65
Se (0.5000, 0.5000, 0.5000)  8 Al 2.80, 2 Os 3.04

DFT total energy	-22.8	eV per formula unit
energy relative to the elements, uncorrected	-0.60	eV per formula unit

[3]
The following is a DFT calculation (GGA-PBE) of K2Ba2Sr after structural relaxation.

Cell lengths 5.9114, 5.9114, 19.6475 Å; angles 90.00, 90.00, 90.00 degrees
Closest atoms and distances in Å follow each position.
Space group I4/mmm (No. 139)
Unique sites:
K (0.0000, 0.0000, 0.0920)  1 K 3.61
Ba (0.0000, 0.5000, 0.2500)  4 Ba 4.18, 4 K 4.29
Sr (0.0000, 0.0000, 0.5000)  8 K 4.55

energy relative to the lowest polymorph listed for this composition	2.01	kcal/mol of atoms
DFT total energy	-6.3	eV per formula unit
formation energy	0.279	eV/atom

[4]
The following is a DFT calculation (GGA-PBE) of Re2IrSeCl after structural relaxation.

Cell lengths 4.8566, 4.8566, 4.7072 Å; angles 90.00, 90.00, 90.00 degrees
Closest atoms and distances in Å follow each position.
Space group P4/mmm (No. 123)
Unique sites:
Re (0.0000, 0.5000, 0.0000)  2 Ir 2.43
Ir (0.0000, 0.0000, 0.0000)  2 Cl 2.35, 4 Re 2.43
Se (0.5000, 0.5000, 0.5000)  8 Re 3.38, 4 Cl 3.43
Cl (0.0000, 0.0000, 0.5000)  2 Ir 2.35

energy relative to the lowest polymorph listed for this composition	0.00	kcal/mol of atoms
DFT total energy	-29.7	eV per formula unit
energy relative to the elements, uncorrected	9.42	eV per formula unit

[5]
The following is a DFT calculation (GGA-PBE) of Li2AlMo after structural relaxation.

Cell lengths 10.3604, 2.6385, 4.7339 Å; angles 90.00, 105.86, 90.00 degrees
Closest atoms and distances in Å follow each position.
Space group C2/m (No. 12)
Unique sites:
Li (0.2387, 0.0000, 0.2517)  6 Li 2.64-2.79, 2 Al 2.77, 2 Mo 2.95
Al (0.0000, 0.5000, 0.0000)  2 Al 2.64, 4 Mo 2.71, 4 Li 2.77
Mo (0.0000, 0.0000, 0.5000)  2 Mo 2.64, 4 Al 2.71, 4 Li 2.95

DFT total energy	-18.0	eV per formula unit
formation energy	0.110	eV/atom

[6]
The following is a DFT calculation (GGA-PBE) of Ca2Zn2P after structural relaxation.

Cell lengths 7.0587, 7.0587, 4.4630 Å; angles 90.00, 90.00, 90.00 degrees
Closest atoms and distances in Å follow each position.
Space group P4/mbm (No. 127)
Unique sites:
Ca (0.1805, 0.3195, 0.0000)  6 Zn 2.96-3.12
Zn (0.1240, 0.6240, 0.5000)  1 Zn 2.48
P (0.0000, 0.0000, 0.5000)  4 Zn 2.79

energy relative to the lowest polymorph listed for this composition	3.72	kcal/mol of atoms
DFT total energy	-13.5	eV per formula unit
formation energy	-0.313	eV/atom